{"formula": "Ba2ErInO5", "functional": "GGA-PBE", "state": "relaxed", "raw_formation_energy_ev_per_atom": -2.551, "m_tot_mub_per_cell": 0.0, "n_ef_per_ev_atom": 0.000, "cell": [[1.8014, -7.2328, 0.0000], [1.8014, 7.2328, 0.0000], [0.0000, 0.0000, 11.8335]], "species": ["Ba", "Ba", "Ba", "Ba", "Er", "Er", "In", "In", "O", "O", "O", "O", "O", "O", "O", "O", "O", "O"], "frac_coords": [[0.1019, 0.8981, 0.5000], [0.1446, 0.8554, 0.1084], [0.8554, 0.1446, 0.6084], [0.8981, 0.1019, 0.0000], [0.2177, 0.7823, 0.8294], [0.7823, 0.2177, 0.3294], [0.4748, 0.5252, 0.2708], [0.5252, 0.4748, 0.7708], [0.0565, 0.9435, 0.8576], [0.2781, 0.7219, 0.4532], [0.3160, 0.6840, 0.2121], [0.3710, 0.6290, 0.8111], [0.4920, 0.5080, 0.5999], [0.5080, 0.4920, 0.0999], [0.6290, 0.3710, 0.3111], [0.6840, 0.3160, 0.7121], [0.7219, 0.2781, 0.9532], [0.9435, 0.0565, 0.3576]]}